Below is a relaxed Hf3GaSn crystal, with properties calculated at the GGA-PBE level.

Properties
Fermi-level density of states	4.0	states/eV/f.u.
distance to the lowest polymorph of the same formula	579	meV/atom
calculated volume	24.073	Å³ per atom
space group	Pm-3m
M_tot	0.0	μB/cell

a = 4.937 Å, b = 4.937 Å, c = 4.937 Å
α = 90.00°, β = 90.00°, γ = 90.00°
Fractional coordinates of all 5 atoms:
Hf  0.000  0.000  0.500
Hf  0.000  0.500  0.000
Hf  0.500  0.000  0.000
Ga  0.000  0.000  0.000
Sn  0.500  0.500  0.500

***

Below is a relaxed PaMnRh crystal, with properties calculated at the GGA-PBE level.

Properties
Fermi-level density of states	3.7	states/eV/f.u.
distance to the lowest polymorph of the same formula	0	meV/atom
calculated volume	18.786	Å³ per atom
space group	P-6m2
M_tot	1.2	μB/cell

a = 4.200 Å, b = 4.200 Å, c = 3.689 Å
α = 90.00°, β = 90.00°, γ = 120.00°
Fractional coordinates of all 3 atoms:
Pa  0.000  0.000  0.000
Mn  0.333  0.667  0.500
Rh  0.667  0.333  0.500

***

Below is a relaxed Pm14YSc crystal, with properties calculated at the GGA-PBE level.

Properties
Fermi-level density of states	24.0	states/eV/f.u.
calculated volume	33.593	Å³ per atom
space group	Cmmm
M_tot	0.0	μB/cell

a = 7.255 Å, b = 7.255 Å, c = 10.213 Å
α = 90.00°, β = 90.00°, γ = 90.05°
Fractional coordinates of all 16 atoms:
Pm  0.000  0.000  0.000
Pm  0.000  0.500  0.000
Pm  0.000  0.500  0.500
Pm  0.248  0.248  0.254
Pm  0.248  0.248  0.746
Pm  0.248  0.752  0.254
Pm  0.248  0.752  0.746
Pm  0.500  0.000  0.000
Pm  0.500  0.000  0.500
Pm  0.500  0.500  0.000
Pm  0.752  0.248  0.254
Pm  0.752  0.248  0.746
Pm  0.752  0.752  0.254
Pm  0.752  0.752  0.746
Y  0.500  0.500  0.500
Sc  0.000  0.000  0.500

***

Below is a relaxed In3MoC crystal, with properties calculated at the GGA-PBE level.

Properties
Fermi-level density of states	5.5	states/eV/f.u.
distance to the lowest polymorph of the same formula	545	meV/atom
calculated volume	30.688	Å³ per atom
space group	Pm-3m
M_tot	0.1	μB/cell

a = 5.354 Å, b = 5.354 Å, c = 5.354 Å
α = 90.00°, β = 90.00°, γ = 90.00°
Fractional coordinates of all 5 atoms:
In  0.000  0.000  0.500
In  0.000  0.500  0.000
In  0.500  0.000  0.000
Mo  0.000  0.000  0.000
C  0.500  0.500  0.500

***

Below is a relaxed LiSm4Dy3Te8 crystal, with properties calculated at the GGA-PBE level.

Properties
Fermi-level density of states	7.8	states/eV/f.u.
calculated volume	29.874	Å³ per atom
ΔE_f (raw)	-21.456	eV per formula unit
space group	R-3m
M_tot	0.0	μB/cell

a = 8.797 Å, b = 8.797 Å, c = 8.797 Å
α = 59.68°, β = 59.68°, γ = 59.68°
Fractional coordinates of all 16 atoms:
Li  0.000  0.000  0.000
Sm  0.000  0.000  0.500
Sm  0.000  0.500  0.000
Sm  0.500  0.000  0.000
Sm  0.500  0.500  0.500
Dy  0.000  0.500  0.500
Dy  0.500  0.000  0.500
Dy  0.500  0.500  0.000
Te  0.242  0.242  0.753
Te  0.242  0.753  0.242
Te  0.247  0.758  0.758
Te  0.252  0.252  0.252
Te  0.748  0.748  0.748
Te  0.753  0.242  0.242
Te  0.758  0.247  0.758
Te  0.758  0.758  0.247

***

Below is a relaxed BaFeH2Rh crystal, with properties calculated at the GGA-PBE level.

Properties
Fermi-level density of states	4.2	states/eV/f.u.
distance to the lowest polymorph of the same formula	0	meV/atom
calculated volume	16.187	Å³ per atom
space group	P4/mmm
M_tot	3.3	μB/cell

a = 4.076 Å, b = 4.076 Å, c = 4.872 Å
α = 90.00°, β = 90.00°, γ = 90.00°
Fractional coordinates of all 5 atoms:
Ba  0.000  0.000  0.000
Fe  0.500  0.500  0.500
H  0.000  0.500  0.500
H  0.500  0.000  0.500
Rh  0.500  0.500  0.000

***

Result set for calculated total energy: -35.300, -26.514, -78.936, -18.946, -81.186, -22.598 eV/cell, one per record in the order listed.